Density functional theory data (PBE) for an optimized crystal structure of TiPb2Br.

Lattice parameters (Å, degrees): 7.603 7.603 7.603 90.00 90.00 90.00
Element x y z (fractional)
Ti  0.000  0.000  0.000
Ti  0.000  0.500  0.500
Ti  0.500  0.000  0.500
Ti  0.500  0.500  0.000
Pb  0.250  0.250  0.250
Pb  0.250  0.250  0.750
Pb  0.250  0.750  0.250
Pb  0.250  0.750  0.750
Pb  0.750  0.250  0.250
Pb  0.750  0.250  0.750
Pb  0.750  0.750  0.250
Pb  0.750  0.750  0.750
Br  0.000  0.000  0.500
Br  0.000  0.500  0.000
Br  0.500  0.000  0.000
Br  0.500  0.500  0.500

Properties
- D(E_F) (states/eV per cell) = 16.98
- formation energy without anion corrections (eV/f.u.) = 1.64
- total DFT energy (no corrections) (eV/atom) = -3.84
- energy above the lowest structure with this stoichiometry (eV/atom) = 0.114
- space group = Fm-3m